Arrangement i

Compound: NpCoRh2
Source: Alexandria
Functional: PBE-GGA
Structure: relaxed

Lattice parameters (Å, degrees): 6.351 6.351 6.351 90.00 90.00 90.00
Sites, in units of the cell vectors:
Np: 0.000 0.000 0.000
Np: 0.000 0.500 0.500
Np: 0.500 0.000 0.500
Np: 0.500 0.500 0.000
Co: 0.000 0.000 0.500
Co: 0.000 0.500 0.000
Co: 0.500 0.000 0.000
Co: 0.500 0.500 0.500
Rh: 0.250 0.250 0.250
Rh: 0.250 0.250 0.750
Rh: 0.250 0.750 0.250
Rh: 0.250 0.750 0.750
Rh: 0.750 0.250 0.250
Rh: 0.750 0.250 0.750
Rh: 0.750 0.750 0.250
Rh: 0.750 0.750 0.750

Properties
The value obtained for the mass density is 13.011 g/cm3.



Arrangement ii

Compound: NpCoRh2
Source: Alexandria
Functional: PBE-GGA
Structure: relaxed

Lattice parameters (Å, degrees): 3.979 3.979 3.926 90.00 90.00 90.00
Sites, in units of the cell vectors:
Np: 0.000 0.000 0.000
Co: 0.500 0.500 0.000
Rh: 0.000 0.500 0.500
Rh: 0.500 0.000 0.500

Properties
The value obtained for the mass density is 13.402 g/cm3.



Most stable structure: arrangement ii



Arrangement i

Compound: TbNpCo2
Source: Alexandria
Functional: PBE-GGA
Structure: relaxed

Lattice parameters (Å, degrees): 4.753 4.753 3.210 90.00 90.00 90.00
Sites, in units of the cell vectors:
Tb: 0.000 0.000 0.000
Np: 0.500 0.500 0.000
Co: 0.000 0.500 0.500
Co: 0.500 0.000 0.500

Properties
The value obtained for the mass density is 11.765 g/cm3.



Arrangement ii

Compound: TbNpCo2
Source: Alexandria
Functional: PBE-GGA
Structure: relaxed

Lattice parameters (Å, degrees): 4.180 4.180 14.966 90.00 90.00 120.00
Sites, in units of the cell vectors:
Tb: 0.000 0.000 0.000
Tb: 0.333 0.667 0.667
Tb: 0.667 0.333 0.333
Np: 0.000 0.000 0.500
Np: 0.333 0.667 0.167
Np: 0.667 0.333 0.833
Co: 0.000 0.000 0.206
Co: 0.000 0.000 0.794
Co: 0.333 0.667 0.461
Co: 0.333 0.667 0.872
Co: 0.667 0.333 0.128
Co: 0.667 0.333 0.539

Properties
The value obtained for the mass density is 11.303 g/cm3.



Most stable structure: arrangement ii



Arrangement i

Compound: TmNpCo2
Source: Alexandria
Functional: PBE-GGA
Structure: relaxed

Lattice parameters (Å, degrees): 3.621 3.621 19.789 90.00 90.00 120.00
Sites, in units of the cell vectors:
Tm: 0.000 0.000 0.000
Tm: 0.333 0.667 0.667
Tm: 0.667 0.333 0.333
Np: 0.000 0.000 0.500
Np: 0.333 0.667 0.167
Np: 0.667 0.333 0.833
Co: 0.000 0.000 0.240
Co: 0.000 0.000 0.760
Co: 0.333 0.667 0.427
Co: 0.333 0.667 0.906
Co: 0.667 0.333 0.094
Co: 0.667 0.333 0.573

Properties
The value obtained for the mass density is 11.610 g/cm3.



Arrangement ii

Compound: TmNpCo2
Source: Alexandria
Functional: PBE-GGA
Structure: relaxed

Lattice parameters (Å, degrees): 3.242 3.242 6.708 90.00 90.00 90.00
Sites, in units of the cell vectors:
Tm: 0.000 0.000 0.000
Np: 0.000 0.000 0.500
Co: 0.500 0.500 0.281
Co: 0.500 0.500 0.719

Properties
The value obtained for the mass density is 12.334 g/cm3.



Most stable structure: arrangement ii



Arrangement i

Compound: NpV2Co
Source: Alexandria
Functional: PBE-GGA
Structure: relaxed

Lattice parameters (Å, degrees): 4.441 4.441 2.855 90.00 90.00 90.00
Sites, in units of the cell vectors:
Np: 0.000 0.000 0.000
V: 0.000 0.500 0.500
V: 0.500 0.000 0.500
Co: 0.500 0.500 0.000

Properties
The value obtained for the mass density is 11.731 g/cm3.



Arrangement ii

Compound: NpV2Co
Source: Alexandria
Functional: PBE-GGA
Structure: relaxed

Lattice parameters (Å, degrees): 6.109 6.109 6.109 90.00 90.00 90.00
Sites, in units of the cell vectors:
Np: 0.000 0.000 0.000
Np: 0.000 0.500 0.500
Np: 0.500 0.000 0.500
Np: 0.500 0.500 0.000
V: 0.250 0.250 0.250
V: 0.250 0.250 0.750
V: 0.250 0.750 0.250
V: 0.250 0.750 0.750
V: 0.750 0.250 0.250
V: 0.750 0.250 0.750
V: 0.750 0.750 0.250
V: 0.750 0.750 0.750
Co: 0.000 0.000 0.500
Co: 0.000 0.500 0.000
Co: 0.500 0.000 0.000
Co: 0.500 0.500 0.500

Properties
The value obtained for the mass density is 11.591 g/cm3.



Arrangement iii

Compound: NpV2Co
Source: Alexandria
Functional: PBE-GGA
Structure: relaxed

Lattice parameters (Å, degrees): 3.137 3.137 5.782 90.00 90.00 90.00
Sites, in units of the cell vectors:
Np: 0.000 0.000 0.000
V: 0.500 0.500 0.255
V: 0.500 0.500 0.745
Co: 0.000 0.000 0.500

Properties
The value obtained for the mass density is 11.613 g/cm3.



Most stable structure: arrangement i